[1]
## Ba2NaOs (PBE)

Data for Ba2NaOs after structural relaxation.

Cell: 5.5590 5.5590 5.5590 Å, 60.00 60.00 60.00°
Positions (direct):
Ba  0.2500  0.2500  0.2500
Ba  0.7500  0.7500  0.7500
Na  0.0000  0.0000  0.0000
Os  0.5000  0.5000  0.5000

Computed properties:
space-group type = No. 225
crystal system = cubic
E_form = 2.5 eV per formula unit
distance to the lowest polymorph of the same formula = 0 meV/atom
final energy = -13.92 eV/cell
total moment = 0.0 μB per formula unit

---

[2]
## TaPbAu (PBE)

Data for TaPbAu after structural relaxation.

Cell: 4.6992 4.6992 3.3846 Å, 90.00 90.00 120.00°
Positions (direct):
Ta  0.0000  0.0000  0.0000
Pb  0.3333  0.6667  0.5319
Au  0.6667  0.3333  0.1250

Computed properties:
space-group type = No. 156
crystal system = trigonal
E_form = 1.4 eV per formula unit
final energy = -17.40 eV/cell
total moment = 0.0 μB per formula unit

---

[3]
## NdYHo2Th (PBE)

Data for NdYHo2Th after structural relaxation.

Cell: 8.5565 6.4424 6.3364 Å, 90.00 99.31 90.00°
Positions (direct):
Nd  0.0000  0.0000  0.0000
Nd  0.0000  0.0000  0.5000
Y  0.5000  0.1745  0.2500
Y  0.5000  0.8255  0.7500
Ho  0.3146  0.3152  0.7007
Ho  0.3146  0.6848  0.2007
Ho  0.6854  0.3152  0.7993
Ho  0.6854  0.6848  0.2993
Th  0.0000  0.4498  0.2500
Th  0.0000  0.5502  0.7500

Computed properties:
space-group type = No. 13
crystal system = monoclinic
E_form = 1.6 eV per formula unit
final energy = -52.36 eV/cell
total moment = 0.0 μB per formula unit

---

[4]
## ScMoW2 (PBE)

Data for ScMoW2 after structural relaxation.

Cell: 3.1845 3.1845 6.8098 Å, 90.00 90.00 90.00°
Positions (direct):
Sc  0.0000  0.0000  0.0000
Mo  0.5000  0.5000  0.7250
W  0.0000  0.0000  0.5013
W  0.5000  0.5000  0.2762

Computed properties:
space-group type = No. 99
crystal system = tetragonal
E_form = 0.6 eV per formula unit
distance to the lowest polymorph of the same formula = 63 meV/atom
final energy = -42.46 eV/cell
total moment = 0.0 μB per formula unit

---

[5]
## AcTb2Lu (PBE)

Data for AcTb2Lu after structural relaxation.

Cell: 12.7677 12.7677 12.7677 Å, 16.06 16.06 16.06°
Positions (direct):
Ac  0.0000  0.0000  0.0000
Tb  0.0934  0.0934  0.0934
Tb  0.9066  0.9066  0.9066
Lu  0.5000  0.5000  0.5000

Computed properties:
space-group type = No. 166
crystal system = trigonal
E_form = 0.7 eV per formula unit
distance to the lowest polymorph of the same formula = 122 meV/atom
final energy = -17.15 eV/cell
total moment = 0.0 μB per formula unit

---

[6]
## Ac2TmAl9 (PBE)

Data for Ac2TmAl9 after structural relaxation.

Cell: 9.6273 9.6273 9.6273 Å, 34.91 34.91 34.91°
Positions (direct):
Ac  0.1410  0.1410  0.1410
Ac  0.8590  0.8590  0.8590
Tm  0.0000  0.0000  0.0000
Al  0.0725  0.5818  0.5818
Al  0.3348  0.3348  0.3348
Al  0.4182  0.4182  0.9275
Al  0.4182  0.9275  0.4182
Al  0.5000  0.5000  0.5000
Al  0.5818  0.0725  0.5818
Al  0.5818  0.5818  0.0725
Al  0.6652  0.6652  0.6652
Al  0.9275  0.4182  0.4182

Computed properties:
space-group type = No. 166
crystal system = trigonal
E_form = -3.0 eV per formula unit
final energy = -49.33 eV/cell
total moment = 0.0 μB per formula unit

---

[7]
## AgRh4Pb (PBE)

Data for AgRh4Pb after structural relaxation.

Cell: 5.2566 5.2566 5.2566 Å, 60.00 60.00 60.00°
Positions (direct):
Ag  0.0000  0.0000  0.0000
Rh  0.1245  0.6252  0.6252
Rh  0.6252  0.1245  0.6252
Rh  0.6252  0.6252  0.1245
Rh  0.6252  0.6252  0.6252
Pb  0.2500  0.2500  0.2500

Computed properties:
space-group type = No. 216
crystal system = cubic
E_form = 1.6 eV per formula unit
final energy = -34.33 eV/cell
total moment = 0.1 μB per formula unit

---

[8]
## LiZn5Ga6 (PBE)

Data for LiZn5Ga6 after structural relaxation.

Cell: 5.8643 5.8643 8.2428 Å, 95.43 95.43 130.42°
Positions (direct):
Li  0.0000  0.0000  0.0000
Zn  0.1244  0.8756  0.5000
Zn  0.3059  0.6941  0.0000
Zn  0.5000  0.5000  0.5000
Zn  0.6941  0.3059  0.0000
Zn  0.8756  0.1244  0.5000
Ga  0.1150  0.4898  0.2791
Ga  0.3260  0.3260  0.7800
Ga  0.4898  0.1150  0.2791
Ga  0.5102  0.8850  0.7209
Ga  0.6740  0.6740  0.2200
Ga  0.8850  0.5102  0.7209

Computed properties:
space-group type = No. 12
crystal system = monoclinic
E_form = -0.1 eV per formula unit
distance to the lowest polymorph of the same formula = 22 meV/atom
final energy = -26.55 eV/cell
total moment = 0.0 μB per formula unit

---

[9]
## BaEuBi2 (PBE)

Data for BaEuBi2 after structural relaxation.

Cell: 5.9419 5.9419 5.9419 Å, 60.00 60.00 60.00°
Positions (direct):
Ba  0.0000  0.0000  0.0000
Eu  0.5000  0.5000  0.5000
Bi  0.2500  0.2500  0.2500
Bi  0.7500  0.7500  0.7500

Computed properties:
space-group type = No. 225
crystal system = cubic
E_form = -2.8 eV per formula unit
distance to the lowest polymorph of the same formula = 72 meV/atom
final energy = -22.80 eV/cell
total moment = 7.1 μB per formula unit

---

[10]
## RbPtF (PBE)

Data for RbPtF after structural relaxation.

Cell: 4.6588 4.6588 7.5098 Å, 90.00 90.00 120.00°
Positions (direct):
Rb  0.0000  0.0000  0.0000
Rb  0.0000  0.0000  0.5000
Pt  0.3333  0.6667  0.1790
Pt  0.3333  0.6667  0.8210
F  0.6667  0.3333  0.2617
F  0.6667  0.3333  0.7383

Computed properties:
space-group type = No. 187
crystal system = hexagonal
distance to the lowest polymorph of the same formula = 1066 meV/atom
raw formation energy = -27 kJ per mole of atoms
final energy = -19.45 eV/cell
total moment = 0.4 μB per formula unit

---

[11]
## BaIrW (PBE)

Data for BaIrW after structural relaxation.

Cell: 4.2228 4.2228 5.3981 Å, 90.00 90.00 120.00°
Positions (direct):
Ba  0.0000  0.0000  0.0000
Ir  0.6667  0.3333  0.4663
W  0.3333  0.6667  0.5212

Computed properties:
space-group type = No. 156
crystal system = trigonal
E_form = 1.1 eV per formula unit
distance to the lowest polymorph of the same formula = 0 meV/atom
final energy = -22.68 eV/cell
total moment = 0.0 μB per formula unit

---

[12]
## AgPtW2 (PBE)

Data for AgPtW2 after structural relaxation.

Cell: 5.8378 5.8378 5.8378 Å, 101.85 101.85 126.10°
Positions (direct):
Ag  0.0000  0.0000  0.0000
Ag  0.7500  0.2500  0.5000
Pt  0.2500  0.7500  0.5000
Pt  0.5000  0.5000  0.0000
W  0.1513  0.6250  0.0263
W  0.3750  0.4013  0.5263
W  0.5987  0.1250  0.9737
W  0.8750  0.8487  0.4737

Computed properties:
space-group type = No. 122
crystal system = tetragonal
E_form = 3.6 eV per formula unit
distance to the lowest polymorph of the same formula = 764 meV/atom
final energy = -62.40 eV/cell
total moment = 0.0 μB per formula unit